A) Material: GeW2Se
Method: DFT, GGA-PBE
State: relaxed

M_tot ... 0.00 μB/f.u.
Symmetry ... Fm-3m (225)

a b c (Å): 4.4455 4.4455 4.4455
angles (deg): 60.00 60.00 60.00
Last column: nearest neighbours and their distance in Å.
Fractional coordinates of all 4 atoms:
1 Ge 0.0000 0.0000 0.0000  8 W 2.72
2 Se 0.5000 0.5000 0.5000  8 W 2.72
3 W 0.2500 0.2500 0.2500  4 Se 2.72, 4 Ge 2.72
4 W 0.7500 0.7500 0.7500  4 Se 2.72, 4 Ge 2.72

---

B) Material: GeW2Se
Method: DFT, GGA-PBE
State: relaxed

M_tot ... 2.96 μB/f.u.
Symmetry ... I-42d (122)

a b c (Å): 5.7851 5.7851 6.9348
angles (deg): 65.35 65.35 90.00
Last column: nearest neighbours and their distance in Å.
Fractional coordinates of all 8 atoms:
1 Ge 0.5000 0.5000 0.0000  4 W 2.49
2 Ge 0.2500 0.7500 0.5000  4 W 2.49
3 Se 0.0000 0.0000 0.0000  4 W 2.47
4 Se 0.7500 0.2500 0.5000  4 W 2.47
5 W 0.6278 0.1250 0.2500  2 Se 2.47, 2 Ge 2.49
6 W 0.1222 0.6250 0.2500  2 Se 2.47, 2 Ge 2.49
7 W 0.3750 0.3722 0.7500  2 Se 2.47, 2 Ge 2.49
8 W 0.8750 0.8778 0.7500  2 Se 2.47, 2 Ge 2.49

---

Most stable: A). Least stable: B).

---

A) Material: ZrGe3Se
Method: DFT, GGA-PBE
State: relaxed

M_tot ... 0.00 μB/f.u.
Symmetry ... Pm-3m (221)

a b c (Å): 4.9379 4.9379 4.9379
angles (deg): 90.00 90.00 90.00
Last column: nearest neighbours and their distance in Å.
Fractional coordinates of all 5 atoms:
1 Ge 0.0000 0.5000 0.0000  2 Se 2.47
2 Ge 0.0000 0.0000 0.5000  2 Se 2.47
3 Ge 0.5000 0.0000 0.0000  2 Se 2.47
4 Se 0.0000 0.0000 0.0000  6 Ge 2.47
5 Zr 0.5000 0.5000 0.5000  12 Ge 3.49

---

B) Material: ZrGe3Se
Method: DFT, GGA-PBE
State: relaxed

M_tot ... 0.00 μB/f.u.
Symmetry ... Pm-3m (221)

a b c (Å): 5.2460 5.2460 5.2460
angles (deg): 90.00 90.00 90.00
Last column: nearest neighbours and their distance in Å.
Fractional coordinates of all 5 atoms:
1 Ge 0.0000 0.5000 0.0000  2 Zr 2.62
2 Ge 0.0000 0.0000 0.5000  2 Zr 2.62
3 Ge 0.5000 0.0000 0.0000  2 Zr 2.62
4 Se 0.5000 0.5000 0.5000  12 Ge 3.71
5 Zr 0.0000 0.0000 0.0000  6 Ge 2.62

---

Most stable: B). Least stable: A).

---

A) Material: Sm6Si2Ge
Method: DFT, GGA-PBE
State: relaxed

M_tot ... 0.00 μB/f.u.
Symmetry ... P2_1/c (14)

a b c (Å): 6.2530 8.1819 9.9347
angles (deg): 90.00 89.25 90.00
Last column: nearest neighbours and their distance in Å.
Fractional coordinates of all 18 atoms:
1 Sm 0.8667 0.9592 0.2315  1 Ge 2.82, 2 Si 3.05-3.07
2 Sm 0.8597 0.6691 0.5604  1 Ge 2.91, 2 Si 3.05-3.11
3 Sm 0.8746 0.6815 0.9372  1 Ge 2.84, 2 Si 3.10-3.12
4 Sm 0.6254 0.1815 0.5628  1 Ge 2.84, 2 Si 3.10-3.12
5 Sm 0.6403 0.1691 0.9396  1 Ge 2.91, 2 Si 3.05-3.11
6 Sm 0.6333 0.4592 0.2685  1 Ge 2.82, 2 Si 3.05-3.07
7 Sm 0.1333 0.0408 0.7685  1 Ge 2.82, 2 Si 3.05-3.07
8 Sm 0.1403 0.3309 0.4396  1 Ge 2.91, 2 Si 3.05-3.11
9 Sm 0.1254 0.3185 0.0628  1 Ge 2.84, 2 Si 3.10-3.12
10 Sm 0.3746 0.8185 0.4372  1 Ge 2.84, 2 Si 3.10-3.12
11 Sm 0.3597 0.8309 0.0604  1 Ge 2.91, 2 Si 3.05-3.11
12 Sm 0.3667 0.5408 0.7315  1 Ge 2.82, 2 Si 3.05-3.07
13 Si 0.9263 0.3805 0.7501  8 Sm 3.05-3.40
14 Si 0.5737 0.8805 0.7499  8 Sm 3.05-3.40
15 Si 0.4263 0.1195 0.2501  8 Sm 3.05-3.40
16 Si 0.0737 0.6195 0.2499  8 Sm 3.05-3.40
17 Ge 0.5000 0.5000 0.0000  6 Sm 2.82-2.91
18 Ge 0.0000 0.0000 0.5000  6 Sm 2.82-2.91

---

B) Material: Sm6Si2Ge
Method: DFT, GGA-PBE
State: relaxed

M_tot ... 0.00 μB/f.u.
Symmetry ... Immm (71)

a b c (Å): 8.5875 8.5875 8.5875
angles (deg): 106.79 110.02 111.63
Last column: nearest neighbours and their distance in Å.
Fractional coordinates of all 18 atoms:
1 Sm 0.5509 0.7308 0.8201  3 Si 3.08-3.22, 1 Ge 3.14
2 Sm 0.4491 0.2692 0.1799  3 Si 3.08-3.22, 1 Ge 3.14
3 Sm 0.0893 0.2692 0.8201  3 Si 3.08-3.22, 1 Ge 3.14
4 Sm 0.9107 0.7308 0.1799  3 Si 3.08-3.22, 1 Ge 3.14
5 Sm 0.8004 0.7568 0.5572  2 Si 3.02-3.29, 2 Ge 3.17-3.28
6 Sm 0.1996 0.2432 0.4428  2 Si 3.02-3.29, 2 Ge 3.17-3.28
7 Sm 0.1996 0.7568 0.9563  2 Si 3.02-3.29, 2 Ge 3.17-3.28
8 Sm 0.8004 0.2432 0.0437  2 Si 3.02-3.29, 2 Ge 3.17-3.28
9 Sm 0.7092 0.3849 0.6757  3 Si 2.94-2.98
10 Sm 0.2908 0.6151 0.3243  3 Si 2.94-2.98
11 Sm 0.2908 0.9665 0.6757  3 Si 2.94-2.98
12 Sm 0.7092 0.0335 0.3243  3 Si 2.94-2.98
13 Si 0.5000 0.3844 0.8844  1 Si 2.37
14 Si 0.5000 0.6156 0.1156  1 Si 2.37
15 Si 0.6262 0.0000 0.6262  1 Si 2.49
16 Si 0.3738 0.0000 0.3738  1 Si 2.49
17 Ge 0.0000 0.5000 0.5000  8 Sm 3.28-3.33
18 Ge 0.0000 0.0000 0.0000  8 Sm 3.14-3.17

---

Most stable: B). Least stable: A).

---

A) Material: SiSn3Ge
Method: DFT, GGA-PBE
State: relaxed

M_tot ... 0.00 μB/f.u.
Symmetry ... Pm-3m (221)

a b c (Å): 5.1920 5.1920 5.1920
angles (deg): 90.00 90.00 90.00
Last column: nearest neighbours and their distance in Å.
Fractional coordinates of all 5 atoms:
1 Ge 0.5000 0.5000 0.5000  12 Sn 3.67
2 Si 0.0000 0.0000 0.0000  6 Sn 2.60
3 Sn 0.0000 0.5000 0.0000  2 Si 2.60
4 Sn 0.0000 0.0000 0.5000  2 Si 2.60
5 Sn 0.5000 0.0000 0.0000  2 Si 2.60

---

B) Material: SiSn3Ge
Method: DFT, GGA-PBE
State: relaxed

M_tot ... 0.00 μB/f.u.
Symmetry ... Pm-3m (221)

a b c (Å): 5.2930 5.2930 5.2930
angles (deg): 90.00 90.00 90.00
Last column: nearest neighbours and their distance in Å.
Fractional coordinates of all 5 atoms:
1 Ge 0.0000 0.0000 0.0000  6 Sn 2.65
2 Si 0.5000 0.5000 0.5000  12 Sn 3.74
3 Sn 0.0000 0.5000 0.0000  2 Ge 2.65
4 Sn 0.0000 0.0000 0.5000  2 Ge 2.65
5 Sn 0.5000 0.0000 0.0000  2 Ge 2.65

---

Most stable: A). Least stable: B).

---

A) Material: SiSn2Ge
Method: DFT, GGA-PBE
State: relaxed

M_tot ... 0.00 μB/f.u.
Symmetry ... I-42d (122)

a b c (Å): 6.1336 6.1336 7.5117
angles (deg): 65.90 65.90 90.00
Last column: nearest neighbours and their distance in Å.
Fractional coordinates of all 8 atoms:
1 Ge 0.0000 0.0000 0.0000  4 Sn 2.68
2 Ge 0.7500 0.2500 0.5000  4 Sn 2.68
3 Si 0.5000 0.5000 0.0000  4 Sn 2.63
4 Si 0.2500 0.7500 0.5000  4 Sn 2.63
5 Sn 0.6178 0.1250 0.2500  2 Si 2.63, 2 Ge 2.68
6 Sn 0.1322 0.6250 0.2500  2 Si 2.63, 2 Ge 2.68
7 Sn 0.3750 0.3822 0.7500  2 Si 2.63, 2 Ge 2.68
8 Sn 0.8750 0.8678 0.7500  2 Si 2.63, 2 Ge 2.68

---

B) Material: SiSn2Ge
Method: DFT, GGA-PBE
State: relaxed

M_tot ... 0.00 μB/f.u.
Symmetry ... Fm-3m (225)

a b c (Å): 5.0291 5.0291 5.0291
angles (deg): 60.00 60.00 60.00
Last column: nearest neighbours and their distance in Å.
Fractional coordinates of all 4 atoms:
1 Ge 0.5000 0.5000 0.5000  8 Sn 3.08
2 Si 0.0000 0.0000 0.0000  8 Sn 3.08
3 Sn 0.2500 0.2500 0.2500  4 Ge 3.08, 4 Si 3.08
4 Sn 0.7500 0.7500 0.7500  4 Ge 3.08, 4 Si 3.08

---

Most stable: A). Least stable: B).

---

A) Material: SiSnGe3
Method: DFT, GGA-PBE
State: relaxed

M_tot ... 0.00 μB/f.u.
Symmetry ... Pm-3m (221)

a b c (Å): 4.8485 4.8485 4.8485
angles (deg): 90.00 90.00 90.00
Last column: nearest neighbours and their distance in Å.
Fractional coordinates of all 5 atoms:
1 Ge 0.0000 0.5000 0.0000  2 Si 2.42
2 Ge 0.0000 0.0000 0.5000  2 Si 2.42
3 Ge 0.5000 0.0000 0.0000  2 Si 2.42
4 Si 0.0000 0.0000 0.0000  6 Ge 2.42
5 Sn 0.5000 0.5000 0.5000  12 Ge 3.43

---

B) Material: SiSnGe3
Method: DFT, GGA-PBE
State: relaxed

M_tot ... 0.00 μB/f.u.
Symmetry ... Pm-3m (221)

a b c (Å): 5.2355 5.2355 5.2355
angles (deg): 90.00 90.00 90.00
Last column: nearest neighbours and their distance in Å.
Fractional coordinates of all 5 atoms:
1 Ge 0.0000 0.5000 0.0000  2 Sn 2.62
2 Ge 0.0000 0.0000 0.5000  2 Sn 2.62
3 Ge 0.5000 0.0000 0.0000  2 Sn 2.62
4 Si 0.5000 0.5000 0.5000  12 Ge 3.70
5 Sn 0.0000 0.0000 0.0000  6 Ge 2.62

---

Most stable: A). Least stable: B).